# 1
VASP calculation (PBE) on a geometry-optimized La3CeDy2As6 structure.

Computed properties:
calculated total energy	-6.35	eV/atom
ΔE_f	-1.533	eV/atom

Unit cell a=7.3782 b=7.3782 c=7.3947 alpha=99.57 beta=99.57 gamma=120.00
Site moments in Bohr magnetons follow the coordinates.
Fractional positions:
As: 0.0790 0.4132 0.2372  -0.01
As: 0.9210 0.5868 0.7628  -0.01
As: 0.5868 0.9210 0.7628  -0.01
As: 0.7448 0.7448 0.2365  -0.01
As: 0.4132 0.0790 0.2372  -0.01
As: 0.2552 0.2552 0.7635  -0.01
Dy: 0.3334 0.6666 0.0000  0.00
Dy: 0.6666 0.3334 0.0000  0.00
La: 0.8335 0.1665 0.5000  0.00
La: 0.5000 0.5000 0.5000  0.00
La: 0.1665 0.8335 0.5000  0.00
Ce: 0.0000 0.0000 0.0000  0.50


# 2
VASP calculation (PBE) on a geometry-optimized Mg2IrCl structure.

Computed properties:
calculated total energy	-3.56	eV/atom
distance to the lowest polymorph of the same formula	660	meV per atom
formation energy without anion corrections	-0.08	eV per atom

Unit cell a=2.9988 b=2.9988 c=9.3472 alpha=90.00 beta=90.00 gamma=90.00
Site moments in Bohr magnetons follow the coordinates.
Fractional positions:
Cl: 0.0000 0.0000 0.4296  0.00
Mg: 0.0000 0.0000 0.9849  0.00
Mg: 0.5000 0.5000 0.2760  0.00
Ir: 0.5000 0.5000 0.8094  0.29